The following is a PBE calculation of a relaxed LiPbW2 crystal, from the Alexandria database.

Geometry as POSCAR:
```
LiPbW2
1.0
-1.9238 1.9238 4.6658
1.9238 -1.9238 4.6658
1.9238 1.9238 -4.6658
Li Pb W
1 1 2
direct
0.0000 0.0000 0.0000
0.5000 0.5000 0.0000
0.2500 0.7500 0.5000
0.7500 0.2500 0.5000
```

## Properties
The energy relative to the elements is 674.6 meV/atom. The calculation puts the total energy at -7.21 eV/atom. As for the calculated density: 13.99 Mg/m³.

The following is a PBE calculation of a relaxed AcHf4PaN8 crystal, from the Alexandria database.

Geometry as POSCAR:
```
AcHf4PaN8
1.0
3.3132 1.9129 5.5772
-3.3132 1.9129 5.5772
0.0000 -3.8257 5.5772
Ac Hf Pa N
1 4 1 8
direct
0.0000 0.0000 0.0000
0.1162 0.6312 0.6312
0.2523 0.2523 0.2523
0.6312 0.1162 0.6312
0.6312 0.6312 0.1162
0.6280 0.6280 0.6280
0.3807 0.3807 0.8612
0.3807 0.8612 0.3807
0.3816 0.3816 0.3816
0.4419 0.8593 0.8593
0.8563 0.8563 0.8563
0.8593 0.4419 0.8593
0.8593 0.8593 0.4419
0.8612 0.3807 0.3807
```

## Properties
The calculation puts the total energy at -10.13 eV/atom. The calculation puts the raw formation energy at -1.562 eV/atom. As for the calculated density: 10.05 Mg/m³.

The following is a PBE calculation of a relaxed SmYAlPd crystal, from the Alexandria database.

Geometry as POSCAR:
```
SmYAlPd
1.0
0.0000 3.6201 3.6201
3.6201 0.0000 3.6201
3.6201 3.6201 0.0000
Sm Y Al Pd
1 1 1 1
direct
0.0000 0.0000 0.0000
0.5000 0.5000 0.5000
0.2500 0.2500 0.2500
0.7500 0.7500 0.7500
```

## Properties
The energy relative to the elements is -546.4 meV/atom. The calculation puts the total energy at -5.58 eV/atom. Its energy above the most stable polymorph in this dataset is 0.056 eV/atom. As for the calculated density: 6.52 Mg/m³.

The following is a PBE calculation of a relaxed BaGaHg crystal, from the Alexandria database.

Geometry as POSCAR:
```
BaGaHg
1.0
-1.9547 1.9547 5.9498
1.9547 -1.9547 5.9498
1.9547 1.9547 -5.9498
Ba Ga Hg
1 1 1
direct
0.0000 0.0000 0.0000
0.6895 0.6895 0.0000
0.3095 0.3095 0.0000
```

## Properties
The energy relative to the elements is -273.8 meV/atom. The calculation puts the total energy at -2.02 eV/atom. Its energy above the most stable polymorph in this dataset is 0.175 eV/atom. As for the calculated density: 7.44 Mg/m³.

The following is a PBE calculation of a relaxed AgHg6Br3 crystal, from the Alexandria database.

Geometry as POSCAR:
```
AgHg6Br3
1.0
8.1626 4.7127 1.5186
-8.1626 4.7127 1.5186
0.0000 -9.4254 1.5186
Ag Hg Br
1 6 3
direct
0.0000 0.0000 0.0000
0.0295 0.0295 0.5087
0.0295 0.5087 0.0295
0.5087 0.0295 0.0295
0.6003 0.6003 0.8796
0.6003 0.8796 0.6003
0.8796 0.6003 0.6003
0.0955 0.3584 0.3584
0.3584 0.0955 0.3584
0.3584 0.3584 0.0955
```

## Properties
The calculation puts the total energy at -1.07 eV/atom. The calculation puts the raw formation energy at -0.098 eV/atom. As for the calculated density: 7.35 Mg/m³.

The following is a PBE calculation of a relaxed SrPmMgCd crystal, from the Alexandria database.

Geometry as POSCAR:
```
SrPmMgCd
1.0
3.9896 0.0000 0.0000
0.0000 3.9896 0.0000
0.0000 0.0000 7.9128
Sr Pm Mg Cd
1 1 1 1
direct
0.0000 0.0000 0.0000
0.0000 0.0000 0.5133
0.5000 0.5000 0.2840
0.5000 0.5000 0.7279
```

## Properties
The energy relative to the elements is -192.3 meV/atom. The calculation puts the total energy at -2.43 eV/atom. Its energy above the most stable polymorph in this dataset is 0.000 eV/atom. As for the calculated density: 4.87 Mg/m³.